# Nd12Zn3C5 | Alexandria | PBE-GGA | optimized geometry
# **Energy of formation from the pure elements**: 1.026 eV/f.u.
# **Crystal system**: cubic
data_Nd12Zn3C5
_chemical_formula_sum 'Nd96 Zn24 C40'
_cell_length_a 16.263
_cell_length_b 16.263
_cell_length_c 16.263
_cell_angle_alpha 90.00
_cell_angle_beta 90.00
_cell_angle_gamma 90.00
_space_group_name_H-M_alt 'I a -3 d'
_space_group_IT_number 230
_space_group_name_Hall '-I 4bd 2c 3'
loop_
_atom_site_label
_atom_site_fract_x
_atom_site_fract_y
_atom_site_fract_z
Nd1 0.033 0.055 0.648
Zn1 0.000 0.250 0.125
C1 0.000 0.000 0.000
C2 0.000 0.250 0.375



# Nd3ZnC | Alexandria | PBE-GGA | optimized geometry
# **ΔE to the lowest computed polymorph**: 0.083 eV/atom
# **Energy of formation from the pure elements**: -0.300 eV/f.u.
# **Crystal system**: cubic
data_Nd3ZnC
_chemical_formula_sum 'Nd3 Zn1 C1'
_cell_length_a 5.084
_cell_length_b 5.084
_cell_length_c 5.084
_cell_angle_alpha 90.00
_cell_angle_beta 90.00
_cell_angle_gamma 90.00
_space_group_name_H-M_alt 'P m -3 m'
_space_group_IT_number 221
_space_group_name_Hall '-P 4 2 3'
loop_
_atom_site_label
_atom_site_fract_x
_atom_site_fract_y
_atom_site_fract_z
Nd1 0.000 0.000 0.500
Zn1 0.500 0.500 0.500
C1 0.000 0.000 0.000